Computed, not measured: a relaxed Sm6HgRh3 crystal at the PBE-GGA level of DFT.

The formation energy comes out at -555.1 meV per atom. For the energy relative to the lowest polymorph listed for this composition, the calculation gives 0 meV/atom. Its crystal system is monoclinic. The density is 8.32 g cm⁻³. As for the total energy: -112.4 eV/cell.

The space group is P2_1/m (No. 11) and the conventional cell measures 11.9679, 4.1480 and 11.9735 Å, with angles of 90.00, 108.58 and 90.00 degrees. The asymmetric unit holds Sm at (0.0410, 0.2500, 0.3581), Sm at (0.1054, 0.7500, 0.9674), Sm at (0.2353, 0.2500, 0.7910), Sm at (0.2699, 0.7500, 0.2784), Sm at (0.4015, 0.2500, 0.5636), Sm at (0.4530, 0.2500, 0.1110), Hg at (0.1939, 0.7500, 0.5577), Rh at (0.0086, 0.7500, 0.1867), Rh at (0.3345, 0.7500, 0.9552) and Rh at (0.4322, 0.2500, 0.3417).